Computed, not measured: Cs4K4Tl after structural relaxation at the PBE-GGA level of DFT.

CIF file:
```
data_Cs4K4Tl
_cell_length_a 12.891
_cell_length_b 12.891
_cell_length_c 9.239
_cell_angle_alpha 90.00
_cell_angle_beta 90.00
_cell_angle_gamma 90.00
_space_group_name_H-M_alt 'P 42/n m c'
_space_group_IT_number 137
loop_
_space_group_symop_operation_xyz
'x,y,z'
'-x,-y,-z'
'-y+1/2,x,z+1/2'
'y+1/2,-x,-z+1/2'
'-x+1/2,-y+1/2,z'
'x+1/2,y+1/2,-z'
'y,-x+1/2,z+1/2'
'-y,x+1/2,-z+1/2'
'x+1/2,-y,-z'
'-x+1/2,y,z'
'-y,-x,-z+1/2'
'y,x,z+1/2'
'-x,y+1/2,-z'
'x,-y+1/2,z'
'y+1/2,x+1/2,-z+1/2'
'-y+1/2,-x+1/2,z+1/2'
loop_
_atom_site_label
_atom_site_type_symbol
_atom_site_fract_x
_atom_site_fract_y
_atom_site_fract_z
_atom_site_occupancy
Cs1 Cs 0.044 0.250 0.105 1
K1 K 0.074 0.750 0.428 1
Tl1 Tl 0.250 0.750 0.750 1
```

Values from the calculation:
- V (Å³/atom) = 85.3
- VASP energy (eV/atom) = -1.1221
- density (kg/m3) = 1930